Here is a PBEsol-optimized structure of ZnTe2Au2 from Alexandria via LeMat-Bulk. Energies are from SCAN.

The structure in POSCAR format:
```
ZnTe2Au2
1.0
-0.522 0.497 -5.435
0.586 -4.984 2.254
-4.241 -3.473 0.090
Au Te Zn
2 2 1
Direct
0.322 0.645 0.678
0.678 0.355 0.322
0.750 0.500 0.750
0.250 0.500 0.250
0.000 0.000 0.000
```

Computed properties:
Formation energy (no corrections): 0.04 eV per atom
Magnetic moment: 0.00 μB/f.u.